The following is a PBE with a Hubbard U calculation of crystalline MnTe2O at its relaxed geometry, from Alexandria via LeMat-Bulk.

Structure (CIF):
```
data_MnTe2O
_chemical_formula_sum 'Mn3 Te6 O3'
_space_group_name_H-M_alt 'R -3 m'
_space_group_IT_number 166
_space_group_name_Hall '-R 3 2"'
_cell_length_a 3.2679
_cell_length_b 3.2679
_cell_length_c 27.7611
_cell_angle_alpha 90.00
_cell_angle_beta 90.00
_cell_angle_gamma 120.00
loop_
_atom_site_label
_atom_site_type_symbol
_atom_site_fract_x
_atom_site_fract_y
_atom_site_fract_z
_atom_site_occupancy
Mn1 Mn 0.0000 0.0000 0.0000 1
Te1 Te 0.0000 0.0000 0.1024 1
O1 O 0.0000 0.0000 0.5000 1
```

## Properties
- VASP energy: -4.2483 eV/atom
- Density of states at the Fermi level: 0.693 states/eV per atom